Compound: Ba2LiAgAu
Source: Alexandria via LeMat-Bulk
Functional: PBE
Structure: relaxed

a = 4.743 Å, b = 4.743 Å, c = 15.021 Å
α = 90.00°, β = 90.00°, γ = 90.00°
Atoms (fractional coordinates):
Ba 0.250 0.250 0.124
Ba 0.250 0.250 0.670
Ba 0.750 0.750 0.330
Ba 0.750 0.750 0.876
Li 0.250 0.750 0.500
Li 0.750 0.250 0.500
Ag 0.250 0.250 0.897
Ag 0.750 0.750 0.103
Au 0.250 0.250 0.401
Au 0.750 0.750 0.599

Calculated values
energy of formation from the pure elements: -1.83 eV/f.u.
total energy: -2.74 eV/atom